1.
# ZnPbNO

A geometry-optimized ZnPbNO structure (PBE, the Open Quantum Materials Database).

Structure (POSCAR):
```
ZnPbNO
1.0
3.512 0.000 0.000
0.000 5.824 0.000
0.000 0.000 6.099
O N Pb Zn
2 2 2 2
Cartesian
1.756 2.319 1.187 O
1.756 5.231 4.912 O
0.000 4.958 2.185 N
0.000 2.046 3.913 N
1.756 2.896 5.010 Pb
1.756 5.808 1.089 Pb
0.000 0.043 3.971 Zn
0.000 2.955 2.127 Zn
```

Energy above the lowest structure with this stoichiometry = 0.008 eV/atom



2.
# NbCuGePd

A geometry-optimized NbCuGePd structure (PBE, the Open Quantum Materials Database).

Structure (POSCAR):
```
NbCuGePd
1.0
-3.825 -1.233 1.880
-3.852 1.473 -1.636
-2.719 -2.789 -2.126
Pd Nb Ge Cu
1 1 1 1
Cartesian
-5.198 -1.275 -0.941 Pd
-2.599 -0.637 -0.471 Nb
0.000 0.000 0.000 Ge
-7.797 -1.912 -1.412 Cu
```

Energy above the lowest structure with this stoichiometry = 0.000 eV/atom



3.
# TbAlGe

A geometry-optimized TbAlGe structure (PBE, the Open Quantum Materials Database).

Structure (POSCAR):
```
TbAlGe
1.0
1.984 -5.402 0.000
1.984 5.402 0.000
0.000 0.000 6.000
Tb Ge Al
2 2 2
Cartesian
1.984 3.490 4.500 Tb
1.984 -3.490 1.500 Tb
1.984 0.000 3.000 Ge
1.984 0.000 0.000 Ge
1.984 -4.260 4.500 Al
1.984 4.260 1.500 Al
```

VASP energy = -28.58 eV per cell



4.
# DyPbAuS3

A geometry-optimized DyPbAuS3 structure (PBE, the Open Quantum Materials Database).

Structure (POSCAR):
```
DyPbAuS3
1.0
-5.827 -0.906 -3.567
-6.197 -3.010 -0.185
-4.168 8.291 4.704
Au Pb S Dy
2 2 6 2
Cartesian
-9.660 4.091 1.489 Au
-6.533 0.285 -0.538 Au
-6.087 5.254 2.604 Pb
-10.106 -0.879 -1.652 Pb
-11.667 5.374 2.068 S
-14.100 2.645 0.103 S
-4.526 -0.999 -1.117 S
-9.994 2.045 0.179 S
-2.093 1.731 0.848 S
-6.199 2.330 0.772 S
0.000 0.000 0.000 Dy
-2.084 4.146 2.352 Dy
```

Energy above the lowest structure with this stoichiometry = 0.025 eV/atom



5.
# YAg2Au

A geometry-optimized YAg2Au structure (PBE, the Open Quantum Materials Database).

Structure (POSCAR):
```
YAg2Au
1.0
-0.064 -3.298 3.822
4.909 -2.750 -2.291
3.096 3.190 2.805
Ag Au Y
4 2 2
Cartesian
3.195 1.389 1.252 Ag
5.710 -0.020 0.078 Ag
2.324 -1.222 2.318 Ag
4.717 -2.563 1.202 Ag
5.014 -0.353 3.113 Au
0.504 0.520 0.457 Au
2.632 1.096 4.324 Y
2.887 -0.929 -0.754 Y
```

Energy of formation from the pure elements = -456 meV per atom



6.
# SnTe2Au2F2

A geometry-optimized SnTe2Au2F2 structure (PBE, the Open Quantum Materials Database).

Structure (POSCAR):
```
SnTe2Au2F2
1.0
-2.040 3.023 -1.830
-3.532 -1.805 0.957
-0.205 4.219 7.200
F Te Sn Au
2 2 1 2
Cartesian
-2.889 2.719 3.164 F
-0.103 2.110 3.600 F
-1.080 2.740 1.181 Te
-1.912 2.089 5.583 Te
0.000 0.000 0.000 Sn
-1.812 0.045 2.096 Au
-1.179 4.783 4.668 Au
```

VASP energy = -23.47 eV per cell



7.
# SrDyY

A geometry-optimized SrDyY structure (PBE, the Open Quantum Materials Database).

Structure (POSCAR):
```
SrDyY
1.0
0.000 4.076 4.076
4.076 0.000 4.076
4.076 4.076 0.000
Dy Sr Y
1 1 1
Cartesian
2.038 2.038 2.038 Dy
6.114 6.114 6.114 Sr
0.000 0.000 0.000 Y
```

VASP energy = -10.26 eV per cell



8.
# CdPPbO

A geometry-optimized CdPPbO structure (PBE, the Open Quantum Materials Database).

Structure (POSCAR):
```
CdPPbO
1.0
-3.691 -0.177 -1.412
0.471 -6.700 -0.392
-2.419 -0.544 6.390
O P Pb Cd
2 2 2 2
Cartesian
-2.609 -2.651 1.611 O
-3.678 -4.917 4.689 O
-1.990 -1.535 5.393 P
-0.460 -5.822 1.932 P
-2.830 -4.756 2.451 Pb
-1.765 -2.431 -0.623 Pb
-1.996 -5.915 5.959 Cd
-1.073 -1.581 3.002 Cd
```

Energy above the lowest structure with this stoichiometry = 0.052 eV/atom